Entry 1:
## AcZn6Pt2 (PBE-GGA)

Data for a relaxed AcZn6Pt2 crystal.

Computed properties:
ΔE to the lowest computed polymorph in eV per atom: 0.0000

Cell lengths 4.1747, 4.1747, 9.4163 Å; angles 90.00, 90.00, 90.00 degrees
Last column: nearest neighbours and their distance in Å.
Element x y z (fractional)
Ac1 0.0000 0.0000 0.0000  8 Pt 3.25, 8 Zn 3.62
Zn1 0.0000 0.5000 0.3137  2 Pt 2.62, 4 Zn 2.73
Zn2 0.5000 0.0000 0.3137  2 Pt 2.62, 4 Zn 2.73
Zn3 0.0000 0.5000 0.6863  2 Pt 2.62, 4 Zn 2.73
Zn4 0.5000 0.0000 0.6863  2 Pt 2.62, 4 Zn 2.73
Zn5 0.5000 0.5000 0.5000  12 Zn 2.73-2.95
Zn6 0.0000 0.0000 0.5000  12 Zn 2.73-2.95
Pt1 0.5000 0.5000 0.1454  4 Zn 2.62, 1 Pt 2.74
Pt2 0.5000 0.5000 0.8546  4 Zn 2.62, 1 Pt 2.74



Entry 2:
## KFe2Ni (PBE-GGA)

Data for a relaxed KFe2Ni crystal.

Computed properties:
ΔE to the lowest computed polymorph in eV per atom: 0.2588

Cell lengths 5.8823, 5.8823, 5.8823 Å; angles 154.51, 128.16, 58.63 degrees
Last column: nearest neighbours and their distance in Å.
Element x y z (fractional)
Fe1 0.0465 0.0465 0.0000  2 Ni 2.46, 2 Fe 2.59
Fe2 0.4535 0.4535 0.0000  2 Ni 2.46, 2 Fe 2.59
K1 0.7500 0.2500 0.5000  2 K 2.59, 4 Ni 2.88
Ni1 0.2500 0.7500 0.5000  4 Fe 2.46, 2 Ni 2.59



Entry 3:
## Nd12In2Hg5 (PBE-GGA)

Data for a relaxed Nd12In2Hg5 crystal.

Computed properties:
Final energy in eV per atom: -3.639

Cell lengths 10.6933, 8.4598, 8.5474 Å; angles 79.76, 90.00, 129.20 degrees
Last column: nearest neighbours and their distance in Å.
Element x y z (fractional)
Nd1 0.8972 0.7944 0.1529  1 Hg 3.10, 1 Nd 3.30, 2 In 3.38
Nd2 0.0002 0.6564 0.8116  2 Hg 3.18-3.44, 1 In 3.25
Nd3 0.6563 0.6564 0.8116  2 Hg 3.18-3.44, 1 In 3.25
Nd4 0.1714 0.7907 0.3976  4 Hg 3.19-3.45, 1 In 3.36
Nd5 0.6192 0.7907 0.3976  4 Hg 3.19-3.45, 1 In 3.36
Nd6 0.3896 0.7792 0.7499  3 Hg 3.25-3.46, 2 Nd 3.61
Nd7 0.6104 0.2208 0.2501  3 Hg 3.25-3.46, 2 Nd 3.61
Nd8 0.8286 0.2093 0.6024  4 Hg 3.19-3.45, 1 In 3.36
Nd9 0.3808 0.2093 0.6024  4 Hg 3.19-3.45, 1 In 3.36
Nd10 0.9998 0.3436 0.1884  2 Hg 3.18-3.44, 1 In 3.25
Nd11 0.3437 0.3436 0.1884  2 Hg 3.18-3.44, 1 In 3.25
Nd12 0.1028 0.2056 0.8471  1 Hg 3.10, 1 Nd 3.30, 2 In 3.38
In1 0.7238 0.0000 0.0000  2 Hg 2.98, 2 Nd 3.25
In2 0.2762 0.0000 0.0000  2 Hg 2.98, 2 Nd 3.25
Hg1 0.2328 0.4656 0.4946  2 Hg 3.04-3.20, 4 Nd 3.10-3.32
Hg2 0.3744 0.7487 0.1351  2 In 2.98, 5 Nd 3.18-3.34, 1 Hg 3.20
Hg3 0.0000 0.0000 0.5000  2 Hg 3.04
Hg4 0.6256 0.2513 0.8649  2 In 2.98, 5 Nd 3.18-3.34, 1 Hg 3.20
Hg5 0.7672 0.5344 0.5054  2 Hg 3.04-3.20, 4 Nd 3.10-3.32